DFT (PBE) results for an optimized crystal structure of LaGa4CoIr2.

Cell lengths 4.2421, 4.2421, 9.1665 Å; angles 76.62, 76.62, 60.00 degrees
Closest atoms and distances in Å follow each position.
Atoms (fractional coordinates):
1 La 0.0000 0.0000 0.0000  6 Ga 3.11
2 Ir 0.2311 0.2311 0.3067  7 Ga 2.57-2.59
3 Ir 0.7689 0.7689 0.6933  7 Ga 2.57-2.59
4 Ga 0.1337 0.1337 0.5988  4 Ir 2.58-2.59, 3 Co 2.60
5 Ga 0.5944 0.5944 0.2169  1 Co 2.50, 3 Ir 2.57
6 Ga 0.4056 0.4056 0.7831  1 Co 2.50, 3 Ir 2.57
7 Ga 0.8663 0.8663 0.4012  4 Ir 2.58-2.59, 3 Co 2.60
8 Co 0.5000 0.5000 0.5000  8 Ga 2.50-2.60

Computed properties:
Volume in A^3/atom: 17.2
Energy in eV/atom: -5.759
Spin magnetization in μB per formula unit: 0.000
ΔH_f (0 K) in eV per atom: -0.526
Space group: No. 166



DFT (PBE) results for an optimized crystal structure of LaGa2CoIr.

Cell lengths 5.4069, 4.3874, 5.4069 Å; angles 90.00, 90.00, 90.00 degrees
Closest atoms and distances in Å follow each position.
Atoms (fractional coordinates):
1 Co 0.0000 0.5000 0.0000  2 La 2.19
2 Ga 0.5000 0.0000 0.0000  2 La 2.70
3 Ga 0.0000 0.0000 0.5000  2 La 2.70
4 Ir 0.5000 0.5000 0.5000  8 Ga 3.48, 4 Co 3.82
5 La 0.0000 0.0000 0.0000  2 Co 2.19

Computed properties:
Volume in A^3/atom: 25.7
Energy in eV/atom: -3.683
Spin magnetization in μB per formula unit: 0.001
ΔH_f (0 K) in eV per atom: 1.706
Space group: No. 123



DFT (PBE) results for an optimized crystal structure of MnGaCo2Ir.

Cell lengths 4.6172, 4.6325, 4.6172 Å; angles 90.00, 90.00, 90.00 degrees
Closest atoms and distances in Å follow each position.
Atoms (fractional coordinates):
1 Mn 0.0000 0.5000 0.0000  2 Ir 2.32
2 Co 0.0000 0.0000 0.5000  2 Ir 2.31
3 Co 0.5000 0.0000 0.0000  2 Ir 2.31
4 Ga 0.5000 0.5000 0.5000  4 Mn 3.26, 8 Co 3.27
5 Ir 0.0000 0.0000 0.0000  4 Co 2.31, 2 Mn 2.32

Computed properties:
Volume in A^3/atom: 19.8
Energy in eV/atom: -5.924
Spin magnetization in μB per formula unit: 8.337
ΔH_f (0 K) in eV per atom: 1.130
Space group: No. 123



DFT (PBE) results for an optimized crystal structure of GaCoMoIr.

Cell lengths 4.3128, 4.3128, 4.3128 Å; angles 60.00, 60.00, 60.00 degrees
Closest atoms and distances in Å follow each position.
Atoms (fractional coordinates):
1 Ir 0.2500 0.2500 0.2500  4 Ga 2.64, 4 Mo 2.64
2 Co 0.7500 0.7500 0.7500  4 Mo 2.64, 4 Ga 2.64
3 Mo 0.5000 0.5000 0.5000  4 Co 2.64, 4 Ir 2.64
4 Ga 0.0000 0.0000 0.0000  4 Co 2.64, 4 Ir 2.64

Computed properties:
Volume in A^3/atom: 14.2
Energy in eV/atom: -7.522
Spin magnetization in μB per formula unit: 2.618
ΔH_f (0 K) in eV per atom: -0.066
Space group: No. 216



DFT (PBE) results for an optimized crystal structure of GaCoIr2N.

Cell lengths 3.9413, 4.4321, 3.9413 Å; angles 90.00, 90.00, 90.00 degrees
Closest atoms and distances in Å follow each position.
Atoms (fractional coordinates):
1 Ir 0.5000 0.0000 0.0000  2 N 1.97
2 Ir 0.0000 0.0000 0.5000  2 N 1.97
3 Ga 0.0000 0.5000 0.0000  2 N 2.22
4 N 0.0000 0.0000 0.0000  4 Ir 1.97
5 Co 0.5000 0.5000 0.5000  4 Ga 2.79, 8 Ir 2.97

Computed properties:
Volume in A^3/atom: 13.8
Energy in eV/atom: -6.594
Formation energy (no corrections) in eV per atom: 0.642
Spin magnetization in μB per formula unit: 1.739
Space group: No. 123



DFT (PBE) results for an optimized crystal structure of NbGaCoIr.

Cell lengths 3.9622, 3.9624, 4.6087 Å; angles 115.47, 115.46, 90.00 degrees
Closest atoms and distances in Å follow each position.
Atoms (fractional coordinates):
1 Co 0.0000 0.0000 0.0000  4 Ga 2.70, 4 Nb 2.70, 4 Ir 2.80
2 Ga 0.7500 0.2500 0.5000  4 Ir 2.70, 4 Co 2.70, 4 Nb 2.80
3 Ir 0.5000 0.5000 0.0000  4 Ga 2.70, 4 Nb 2.70, 4 Co 2.80
4 Nb 0.2500 0.7500 0.5000  4 Co 2.70, 4 Ir 2.70, 4 Ga 2.80

Computed properties:
Volume in A^3/atom: 14.4
Energy in eV/atom: -7.678
Spin magnetization in μB per formula unit: 0.001
ΔH_f (0 K) in eV per atom: -0.412
Space group: No. 119



DFT (PBE) results for an optimized crystal structure of NdGa4CoIr2.

Cell lengths 4.2284, 4.2284, 9.0224 Å; angles 76.45, 76.45, 60.00 degrees
Closest atoms and distances in Å follow each position.
Atoms (fractional coordinates):
1 Ga 0.1337 0.1337 0.5989  4 Ir 2.59, 3 Co 2.59
2 Ga 0.5964 0.5964 0.2109  1 Co 2.51, 3 Ir 2.56
3 Ga 0.4036 0.4036 0.7891  1 Co 2.51, 3 Ir 2.56
4 Ga 0.8663 0.8663 0.4011  4 Ir 2.59, 3 Co 2.59
5 Ir 0.2329 0.2329 0.3012  7 Ga 2.56-2.59
6 Ir 0.7671 0.7671 0.6988  7 Ga 2.56-2.59
7 Co 0.5000 0.5000 0.5000  8 Ga 2.51-2.59
8 Nd 0.0000 0.0000 0.0000  6 Ga 3.05

Computed properties:
Volume in A^3/atom: 16.8
Energy in eV/atom: -5.733
Spin magnetization in μB per formula unit: 0.000
ΔH_f (0 K) in eV per atom: -0.520
Space group: No. 166



Q: volume of number 7 (NdGa4CoIr2)?
A: 16.8 A^3/atom



Q: The lowest volume belongs to which entry?
A: GaCoIr2N



Q: Among the records above, which one has the lowest energy?
A: NbGaCoIr